Material: Tc3W5
Method: DFT, PBE
State: relaxed

Lattice parameters (Å, degrees): 7.5940 7.5940 5.1518 90.00 90.00 60.00
Element x y z (fractional)
Tc  0.5947  0.4053  0.7500
Tc  0.4053  0.5947  0.2500
Tc  0.4053  0.0000  0.7500
Tc  0.0000  0.4053  0.2500
Tc  0.5947  0.0000  0.2500
Tc  0.0000  0.5947  0.7500
W  0.7708  0.2292  0.2500
W  0.2292  0.7708  0.7500
W  0.2292  0.0000  0.2500
W  0.0000  0.2292  0.7500
W  0.6667  0.6667  0.0000
W  0.6667  0.6667  0.5000
W  0.3333  0.3333  0.0000
W  0.3333  0.3333  0.5000
W  0.7708  0.0000  0.7500
W  0.0000  0.7708  0.2500

Output
Calculated volume ... 16.081 Å³/atom
Density of states at the Fermi level ... 13.898 states/eV/cell
Calculated total energy ... -186.61 eV for the cell shown
Energy of formation ... 0.320 eV/atom
SG ... P6_3/mcm, No. 193
Excess energy over the best structure of this formula in the dataset ... 0.261 eV/atom

Material: Tc3W
Method: DFT, PBE
State: relaxed

Lattice parameters (Å, degrees): 4.4029 4.4029 4.4029 60.00 60.00 60.00
Element x y z (fractional)
Tc  0.0000  0.0000  0.0000
Tc  0.5000  0.5000  0.5000
Tc  0.2500  0.2500  0.2500
W  0.7500  0.7500  0.7500

Output
Calculated volume ... 15.089 Å³/atom
Density of states at the Fermi level ... 4.285 states/eV/cell
Calculated total energy ... -43.31 eV for the cell shown
Energy of formation ... 0.186 eV/atom
SG ... Fm-3m, No. 225

Material: TcW2
Method: DFT, PBE
State: relaxed

Lattice parameters (Å, degrees): 6.4496 6.4496 4.1525 90.00 90.00 120.00
Element x y z (fractional)
Tc  0.0000  0.0000  0.5000
Tc  0.3333  0.6667  0.0000
Tc  0.6667  0.3333  0.0000
W  0.0000  0.2516  0.0000
W  0.0000  0.5728  0.5000
W  0.2516  0.0000  0.0000
W  0.7484  0.7484  0.0000
W  0.5728  0.0000  0.5000
W  0.4272  0.4272  0.5000

Output
Calculated volume ... 16.621 Å³/atom
Density of states at the Fermi level ... 6.904 states/eV/cell
Calculated total energy ... -103.85 eV for the cell shown
Energy of formation ... 0.552 eV/atom
SG ... P-62m, No. 189
Excess energy over the best structure of this formula in the dataset ... 0.505 eV/atom

Material: TcW7
Method: DFT, PBE
State: relaxed

Lattice parameters (Å, degrees): 6.3465 6.3465 6.3465 90.11 90.11 89.89
Element x y z (fractional)
Tc  0.8710  0.8710  0.1290
Tc  0.1290  0.1290  0.8710
W  0.6258  0.6258  0.3742
W  0.6242  0.1264  0.3758
W  0.1264  0.6242  0.3758
W  0.1245  0.1245  0.3733
W  0.8755  0.3733  0.1245
W  0.3733  0.8755  0.1245
W  0.3758  0.3758  0.1264
W  0.6242  0.6242  0.8736
W  0.6267  0.1245  0.8755
W  0.1245  0.6267  0.8755
W  0.8755  0.8755  0.6267
W  0.8736  0.3758  0.6242
W  0.3758  0.8736  0.6242
W  0.3742  0.3742  0.6258

Output
Calculated volume ... 15.976 Å³/atom
Density of states at the Fermi level ... 14.076 states/eV/cell
Calculated total energy ... -201.66 eV for the cell shown
Energy of formation ... 0.026 eV/atom
SG ... R-3m, No. 166
Excess energy over the best structure of this formula in the dataset ... 0.000 eV/atom

Material: TcW2
Method: DFT, PBE
State: relaxed

Lattice parameters (Å, degrees): 2.7217 4.3565 7.9953 90.00 90.00 90.00
Element x y z (fractional)
Tc  0.0000  0.0000  0.0000
Tc  0.5000  0.5000  0.5000
W  0.1566  0.0000  0.3388
W  0.3434  0.5000  0.8388
W  0.6566  0.5000  0.1612
W  0.8434  0.0000  0.6612

Output
Calculated volume ... 15.800 Å³/atom
Density of states at the Fermi level ... 6.544 states/eV/cell
Calculated total energy ... -71.29 eV for the cell shown
Energy of formation ... 0.208 eV/atom
SG ... Pnnm, No. 58
Excess energy over the best structure of this formula in the dataset ... 0.161 eV/atom

Material: Tc2W
Method: DFT, PBE
State: relaxed

Lattice parameters (Å, degrees): 5.4372 4.2588 7.9185 90.00 90.00 90.00
Element x y z (fractional)
Tc  0.0356  0.2500  0.2325
Tc  0.1679  0.2500  0.5661
Tc  0.3321  0.7500  0.0661
Tc  0.4644  0.7500  0.7325
Tc  0.5356  0.2500  0.2675
Tc  0.6679  0.2500  0.9339
Tc  0.8321  0.7500  0.4339
Tc  0.9644  0.7500  0.7675
W  0.1724  0.2500  0.9034
W  0.3276  0.7500  0.4034
W  0.6724  0.2500  0.5966
W  0.8276  0.7500  0.0966

Output
Calculated volume ... 15.280 Å³/atom
Density of states at the Fermi level ... 13.731 states/eV/cell
Calculated total energy ... -133.61 eV for the cell shown
Energy of formation ... 0.094 eV/atom
SG ... Pnma, No. 62
Excess energy over the best structure of this formula in the dataset ... 0.000 eV/atom

Material: TcW2
Method: DFT, PBE
State: relaxed

Lattice parameters (Å, degrees): 4.4329 4.4329 2.7676 90.00 90.00 120.00
Element x y z (fractional)
Tc  0.0000  0.0000  0.0000
W  0.3333  0.6667  0.3418
W  0.6667  0.3333  0.6582

Output
Calculated volume ... 15.699 Å³/atom
Density of states at the Fermi level ... 2.309 states/eV/cell
Calculated total energy ... -36.00 eV for the cell shown
Energy of formation ... 0.090 eV/atom
SG ... P-3m1, No. 164
Excess energy over the best structure of this formula in the dataset ... 0.043 eV/atom

Material: Tc5W3
Method: DFT, PBE
State: relaxed

Lattice parameters (Å, degrees): 7.5750 7.5747 5.0824 90.00 90.00 60.01
Element x y z (fractional)
Tc  0.7690  0.2310  0.2500
Tc  0.2310  0.7690  0.7500
Tc  0.2310  0.0000  0.2500
Tc  0.0000  0.2310  0.7500
Tc  0.6667  0.6667  0.0000
Tc  0.6667  0.6667  0.5000
Tc  0.3333  0.3333  0.0000
Tc  0.3333  0.3333  0.5000
Tc  0.7690  0.0000  0.7500
Tc  0.0000  0.7690  0.2500
W  0.5985  0.4015  0.7500
W  0.4016  0.5985  0.2500
W  0.4016  0.0000  0.7500
W  0.0000  0.4015  0.2500
W  0.5985  0.0000  0.2500
W  0.0000  0.5985  0.7500

Output
Calculated volume ... 15.786 Å³/atom
Density of states at the Fermi level ... 17.638 states/eV/cell
Calculated total energy ... -176.02 eV for the cell shown
Energy of formation ... 0.335 eV/atom
SG ... P6_3/mcm, No. 193
Excess energy over the best structure of this formula in the dataset ... 0.253 eV/atom

Material: Tc2W
Method: DFT, PBE
State: relaxed

Lattice parameters (Å, degrees): 4.4268 4.4268 5.4191 90.00 90.00 120.00
Element x y z (fractional)
Tc  0.0000  0.0000  0.0000
Tc  0.0000  0.0000  0.5000
Tc  0.3333  0.6667  0.2500
Tc  0.6667  0.3333  0.7500
W  0.3333  0.6667  0.7500
W  0.6667  0.3333  0.2500

Output
Calculated volume ... 15.328 Å³/atom
Density of states at the Fermi level ... 9.437 states/eV/cell
Calculated total energy ... -65.83 eV for the cell shown
Energy of formation ... 0.257 eV/atom
SG ... P6_3/mmc, No. 194
Excess energy over the best structure of this formula in the dataset ... 0.163 eV/atom

Material: TcW3
Method: DFT, PBE
State: relaxed

Lattice parameters (Å, degrees): 2.7727 2.7727 8.3041 90.00 90.00 90.00
Element x y z (fractional)
Tc  0.0000  0.0000  0.0000
W  0.0000  0.0000  0.5000
W  0.5000  0.5000  0.2351
W  0.5000  0.5000  0.7649

Output
Calculated volume ... 15.960 Å³/atom
Density of states at the Fermi level ... 2.743 states/eV/cell
Calculated total energy ... -48.12 eV for the cell shown
Energy of formation ... 0.276 eV/atom
SG ... P4/mmm, No. 123

Material: Tc2W
Method: DFT, PBE
State: relaxed

Lattice parameters (Å, degrees): 4.8231 4.8231 4.8231 146.45 132.09 59.75
Element x y z (fractional)
Tc  0.0035  0.0035  0.0000
Tc  0.6632  0.6632  0.0000
W  0.3333  0.3333  0.0000

Output
Calculated volume ... 15.200 Å³/atom
Density of states at the Fermi level ... 2.657 states/eV/cell
Calculated total energy ... -33.23 eV for the cell shown
Energy of formation ... 0.152 eV/atom
SG ... Immm, No. 71
Excess energy over the best structure of this formula in the dataset ... 0.058 eV/atom

Material: Tc3W
Method: DFT, PBE
State: relaxed

Lattice parameters (Å, degrees): 3.1037 3.1037 6.2886 90.00 90.00 90.00
Element x y z (fractional)
Tc  0.0000  0.0000  0.9905
Tc  0.0000  0.0000  0.5095
Tc  0.5000  0.5000  0.2500
W  0.5000  0.5000  0.7500

Output
Calculated volume ... 15.145 Å³/atom
Density of states at the Fermi level ... 4.383 states/eV/cell
Calculated total energy ... -43.41 eV for the cell shown
Energy of formation ... 0.161 eV/atom
SG ... P4/mmm, No. 123

Question: Among the records above, which one has the highest calculated total energy?
Answer: number 11

Question: Number 1 is which compound?
Answer: Tc3W5

Copy entry 1 word for word.
Material: Tc3W5
Method: DFT, PBE
State: relaxed

Lattice parameters (Å, degrees): 7.5940 7.5940 5.1518 90.00 90.00 60.00
Element x y z (fractional)
Tc  0.5947  0.4053  0.7500
Tc  0.4053  0.5947  0.2500
Tc  0.4053  0.0000  0.7500
Tc  0.0000  0.4053  0.2500
Tc  0.5947  0.0000  0.2500
Tc  0.0000  0.5947  0.7500
W  0.7708  0.2292  0.2500
W  0.2292  0.7708  0.7500
W  0.2292  0.0000  0.2500
W  0.0000  0.2292  0.7500
W  0.6667  0.6667  0.0000
W  0.6667  0.6667  0.5000
W  0.3333  0.3333  0.0000
W  0.3333  0.3333  0.5000
W  0.7708  0.0000  0.7500
W  0.0000  0.7708  0.2500

Output
Calculated volume ... 16.081 Å³/atom
Density of states at the Fermi level ... 13.898 states/eV/cell
Calculated total energy ... -186.61 eV for the cell shown
Energy of formation ... 0.320 eV/atom
SG ... P6_3/mcm, No. 193
Excess energy over the best structure of this formula in the dataset ... 0.261 eV/atom

Question: What is the formula in the second record?
Answer: Tc3W